VASP calculation (PBE) on a relaxed structure of VAsPBr2.

```
5
Lattice="-0.394 2.943 3.865 -4.561 -1.558 0.722 1.802 -3.837 3.105" Properties=species:S:1:pos:R:3 pbc="T T T"
Br -2.281 -0.779 0.361
Br -0.197 1.471 1.933
V 0.000 0.000 0.000
As 0.901 -1.918 1.552
P -1.577 -1.226 3.846
```

Summary:
As for the density of states at the Fermi level: 3.4 states/eV/cell. For the energy above the most stable polymorph in this dataset, the calculation gives 0 meV per atom. As for the crystal system: tetragonal. For the calculated volume, the calculation gives 24.96 A^3/atom.